# Ag2Sn3Se8

An optimized crystal structure of Ag2Sn3Se8 (PBE, Alexandria via LeMat-Bulk).

density of states at the Fermi level: 4.86 states/eV/cell
raw formation energy: -0.1846 eV/atom
SG: C2/m (12)

a = 7.609 Å, b = 7.609 Å, c = 7.025 Å
α = 98.23°, β = 98.23°, γ = 60.78°
Element x y z (fractional)
Ag 0.215 0.215 0.067
Ag 0.785 0.785 0.933
Sn 0.247 0.753 0.500
Sn 0.500 0.500 0.000
Sn 0.753 0.247 0.500
Se 0.120 0.120 0.388
Se 0.138 0.602 0.142
Se 0.382 0.382 0.640
Se 0.398 0.862 0.858
Se 0.602 0.138 0.142
Se 0.618 0.618 0.360
Se 0.862 0.398 0.858
Se 0.880 0.880 0.612